Computed, not measured: crystalline BaVPb2F8 at its relaxed geometry at the PBE+U level of DFT.

The density of states at the Fermi level comes out at 0.00 states/eV/f.u. The calculation puts the total energy at -5.428 eV/atom.

a = 4.3915 Å, b = 5.7847 Å, c = 8.1313 Å
α = 90.00°, β = 89.99°, γ = 94.74°
Each line ends with the local moment (μB).
Sites, in units of the cell vectors:
F (0.5163, 0.2592, 0.5000)  0.00
F (0.0476, 0.7632, 0.2109)  0.00
F (0.5829, 0.7742, 0.0000)  0.00
V (0.0000, 0.0000, 0.0000)  2.76
Ba (0.0000, 0.0000, 0.5000)  0.00
F (0.9524, 0.2368, 0.7891)  0.00
Pb (0.4998, 0.5000, 0.7697)  0.00
F (0.4171, 0.2258, 0.0000)  0.00
F (0.4837, 0.7408, 0.5000)  0.00
Pb (0.5002, 0.5000, 0.2303)  0.00
F (0.9522, 0.2367, 0.2109)  0.00
F (0.0478, 0.7633, 0.7891)  0.00